Here is an optimized crystal structure of Eu2FeSnO6 from the Alexandria database. Energies are from PBE with a Hubbard U.

Unit cell a=5.6803 b=5.6803 c=5.6803 alpha=60.00 beta=60.00 gamma=60.00
Atoms (fractional coordinates):
O (0.2467, 0.7533, 0.7533)
O (0.2467, 0.2467, 0.7533)
O (0.2467, 0.7533, 0.2467)
O (0.7533, 0.7533, 0.2467)
O (0.7533, 0.2467, 0.7533)
O (0.7533, 0.2467, 0.2467)
Fe (0.0000, 0.0000, 0.0000)
Sn (0.5000, 0.5000, 0.5000)
Eu (0.7500, 0.7500, 0.7500)
Eu (0.2500, 0.2500, 0.2500)

Summary:
The volume is 12.96 A^3/atom. The total magnetization comes out at 18.0 μB/f.u. Its density of states at the Fermi level is 19.71 states/eV per cell. For the uncorrected energy, the calculation gives -81.24 eV for the cell shown.